(1)
VASP calculation (PBE) on an optimized crystal structure of TmZnCo.

Cell lengths 3.299, 3.299, 9.409 Å; angles 90.00, 90.00, 90.00 degrees
Space group I4mm (No. 107)
Asymmetric unit:
Tm 0.000 0.000 0.000 (multiplicity 2)
Zn 0.000 0.000 0.703 (multiplicity 2)
Co 0.000 0.000 0.323 (multiplicity 2)

Values from the calculation:
- DFT formation energy (eV per atom) = -0.17

=====

(2)
VASP calculation (PBE) on an optimized crystal structure of KYVAg2.

Cell lengths 5.134, 5.134, 5.502 Å; angles 90.00, 90.00, 90.00 degrees
Space group P4/mmm (No. 123)
Asymmetric unit:
K 0.000 0.000 0.000 (multiplicity 1)
Y 0.000 0.000 0.500 (multiplicity 1)
V 0.500 0.500 0.500 (multiplicity 1)
Ag 0.000 0.500 0.000 (multiplicity 2)

Values from the calculation:
- DFT formation energy (eV per atom) = 1.59

=====

(3)
VASP calculation (PBE) on an optimized crystal structure of ThNiGePt3.

Cell lengths 6.749, 11.476, 5.744 Å; angles 90.00, 90.00, 90.00 degrees
Space group Cmcm (No. 63)
Asymmetric unit:
Th 0.000 0.215 0.250 (multiplicity 4)
Ni 0.000 0.427 0.250 (multiplicity 4)
Ge 0.000 0.127 0.750 (multiplicity 4)
Pt 0.000 0.336 0.750 (multiplicity 4)
Pt 0.219 0.000 0.000 (multiplicity 8)

Values from the calculation:
- DFT formation energy (eV per atom) = -0.61

=====

(4)
VASP calculation (PBE) on an optimized crystal structure of ScCdInAg.

Cell lengths 4.933, 4.933, 6.850 Å; angles 90.00, 90.00, 90.00 degrees
Space group I-4m2 (No. 119)
Asymmetric unit:
Sc 0.000 0.000 0.000 (multiplicity 2)
Cd 0.000 0.000 0.500 (multiplicity 2)
In 0.000 0.500 0.750 (multiplicity 2)
Ag 0.000 0.500 0.250 (multiplicity 2)

Values from the calculation:
- DFT formation energy (eV per atom) = -0.22

=====

(5)
VASP calculation (PBE) on an optimized crystal structure of LiHoZnIr.

Cell lengths 6.533, 6.533, 6.533 Å; angles 90.00, 90.00, 90.00 degrees
Space group F-43m (No. 216)
Asymmetric unit:
Li 0.000 0.000 0.000 (multiplicity 4)
Ho 0.250 0.250 0.250 (multiplicity 4)
Zn 0.250 0.250 0.750 (multiplicity 4)
Ir 0.000 0.000 0.500 (multiplicity 4)

Values from the calculation:
- DFT formation energy (eV per atom) = -0.45

=====

(6)
VASP calculation (PBE) on an optimized crystal structure of NbTc2HW.

Cell lengths 4.066, 4.066, 3.980 Å; angles 90.00, 90.00, 90.00 degrees
Space group P4/mmm (No. 123)
Asymmetric unit:
Nb 0.000 0.000 0.000 (multiplicity 1)
Tc 0.000 0.500 0.500 (multiplicity 2)
H 0.500 0.500 0.500 (multiplicity 1)
W 0.500 0.500 0.000 (multiplicity 1)

=====

(7)
VASP calculation (PBE) on an optimized crystal structure of Ba5Sb3O.

Cell lengths 9.230, 9.230, 16.175 Å; angles 90.00, 90.00, 90.00 degrees
Space group I4/mcm (No. 140)
Asymmetric unit:
Ba 0.000 0.000 0.000 (multiplicity 4)
Ba 0.153 0.347 0.152 (multiplicity 16)
Sb 0.000 0.000 0.250 (multiplicity 4)
Sb 0.134 0.366 0.500 (multiplicity 8)
O 0.000 0.500 0.250 (multiplicity 4)

=====

(8)
VASP calculation (PBE) on an optimized crystal structure of Y2Ni2Hg3.

Cell lengths 3.982, 20.217, 3.733 Å; angles 90.00, 90.00, 90.00 degrees
Space group Cmmm (No. 65)
Asymmetric unit:
Y 0.000 0.171 0.000 (multiplicity 4)
Ni 0.000 0.284 0.500 (multiplicity 4)
Hg 0.000 0.000 0.000 (multiplicity 2)
Hg 0.000 0.419 0.500 (multiplicity 4)

Values from the calculation:
- DFT formation energy (eV per atom) = -0.38

=====

(9)
VASP calculation (PBE) on an optimized crystal structure of PmTmBeOs.

Cell lengths 6.877, 6.877, 6.877 Å; angles 90.00, 90.00, 90.00 degrees
Space group F-43m (No. 216)
Asymmetric unit:
Pm 0.000 0.000 0.000 (multiplicity 4)
Tm 0.000 0.000 0.500 (multiplicity 4)
Be 0.250 0.250 0.750 (multiplicity 4)
Os 0.250 0.250 0.250 (multiplicity 4)

Values from the calculation:
- DFT formation energy (eV per atom) = 0.00

=====

(10)
VASP calculation (PBE) on an optimized crystal structure of RbNi2SeI.

Cell lengths 4.788, 4.788, 6.182 Å; angles 90.00, 90.00, 90.00 degrees
Space group P4/mmm (No. 123)
Asymmetric unit:
Rb 0.000 0.000 0.000 (multiplicity 1)
Ni 0.000 0.500 0.000 (multiplicity 2)
Se 0.000 0.000 0.500 (multiplicity 1)
I 0.500 0.500 0.500 (multiplicity 1)

=====

(11)
VASP calculation (PBE) on an optimized crystal structure of EuVIr.

Cell lengths 4.1268, 4.1268, 4.7009 Å; angles 90.00, 90.00, 120.00 degrees
Space group P3m1 (No. 156)
Asymmetric unit:
Eu 0.0000 0.0000 0.0000 (multiplicity 1)
V 0.3333 0.6667 0.4988 (multiplicity 1)
Ir 0.6667 0.3333 0.5017 (multiplicity 1)

Values from the calculation:
- DFT formation energy (eV per atom) = -0.07

=====

(12)
VASP calculation (PBE) on an optimized crystal structure of Ba2ZnGa4Au3.

Cell lengths 4.656, 4.656, 10.768 Å; angles 90.00, 90.00, 90.00 degrees
Space group P-4m2 (No. 115)
Asymmetric unit:
Ba 0.000 0.500 0.250 (multiplicity 2)
Zn 0.000 0.000 0.500 (multiplicity 1)
Ga 0.000 0.000 0.000 (multiplicity 1)
Ga 0.000 0.500 0.625 (multiplicity 2)
Ga 0.500 0.500 0.000 (multiplicity 1)
Au 0.000 0.500 0.874 (multiplicity 2)
Au 0.500 0.500 0.500 (multiplicity 1)

Values from the calculation:
- DFT formation energy (eV per atom) = -0.52

=====

(13)
VASP calculation (PBE) on an optimized crystal structure of BaNaNb.

Cell lengths 8.179, 8.179, 8.179 Å; angles 90.00, 90.00, 90.00 degrees
Space group F-43m (No. 216)
Asymmetric unit:
Ba 0.000 0.000 0.000 (multiplicity 4)
Na 0.250 0.250 0.750 (multiplicity 4)
Nb 0.250 0.250 0.250 (multiplicity 4)

Values from the calculation:
- DFT formation energy (eV per atom) = 1.55

=====

(14)
VASP calculation (PBE) on an optimized crystal structure of Ta2TiNbN.

Cell lengths 4.404, 4.404, 3.967 Å; angles 90.00, 90.00, 90.00 degrees
Space group P4/mmm (No. 123)
Asymmetric unit:
Ta 0.000 0.500 0.000 (multiplicity 2)
Ti 0.000 0.000 0.500 (multiplicity 1)
Nb 0.500 0.500 0.500 (multiplicity 1)
N 0.000 0.000 0.000 (multiplicity 1)

=====

(15)
VASP calculation (PBE) on an optimized crystal structure of NdSi2Rh.

Cell lengths 4.1029, 4.1029, 15.3868 Å; angles 90.00, 90.00, 120.00 degrees
Space group R-3m (No. 166, hexagonal axes)
Asymmetric unit:
Nd 0.0000 0.0000 0.0000 (multiplicity 3)
Si 0.0000 0.0000 0.2090 (multiplicity 6)
Rh 0.0000 0.0000 0.5000 (multiplicity 3)

=====

(16)
VASP calculation (PBE) on an optimized crystal structure of Li6Hg2Rh.

Cell lengths 7.142, 7.685, 5.227 Å; angles 90.00, 96.26, 90.00 degrees
Space group C2/m (No. 12)
Asymmetric unit:
Li 0.000 0.161 0.000 (multiplicity 4)
Li 0.169 0.330 0.661 (multiplicity 8)
Hg 0.174 0.500 0.174 (multiplicity 4)
Rh 0.000 0.000 0.500 (multiplicity 2)

Values from the calculation:
- DFT formation energy (eV per atom) = -0.23

=====

(17)
VASP calculation (PBE) on an optimized crystal structure of Pa5PtSe5.

Cell lengths 12.962, 5.711, 8.062 Å; angles 90.00, 108.42, 90.00 degrees
Space group C2/m (No. 12)
Asymmetric unit:
Pa 0.000 0.000 0.000 (multiplicity 2)
Pa 0.164 0.500 0.328 (multiplicity 4)
Pa 0.167 0.500 0.838 (multiplicity 4)
Pt 0.000 0.500 0.000 (multiplicity 2)
Se 0.000 0.500 0.500 (multiplicity 2)
Se 0.159 0.000 0.817 (multiplicity 4)
Se 0.164 0.000 0.342 (multiplicity 4)

=====

(18)
VASP calculation (PBE) on an optimized crystal structure of DySn3Pd3.

Cell lengths 7.242, 7.242, 7.242 Å; angles 90.00, 90.00, 90.00 degrees
Space group Pm-3n (No. 223)
Asymmetric unit:
Dy 0.000 0.000 0.000 (multiplicity 2)
Sn 0.000 0.250 0.500 (multiplicity 6)
Pd 0.000 0.500 0.250 (multiplicity 6)

Values from the calculation:
- DFT formation energy (eV per atom) = -0.08

=====

(19)
VASP calculation (PBE) on an optimized crystal structure of Mg6FeB.

Cell lengths 4.584, 6.158, 10.176 Å; angles 90.00, 90.00, 90.00 degrees
Space group Amm2 (No. 38)
Asymmetric unit:
Mg 0.000 0.000 0.000 (multiplicity 2)
Mg 0.000 0.000 0.500 (multiplicity 2)
Mg 0.000 0.246 0.265 (multiplicity 4)
Mg 0.500 0.249 0.583 (multiplicity 4)
Fe 0.500 0.000 0.838 (multiplicity 2)
B 0.500 0.000 0.361 (multiplicity 2)

Values from the calculation:
- DFT formation energy (eV per atom) = 0.46

=====

(20)
VASP calculation (PBE) on an optimized crystal structure of NaLiPb2.

Cell lengths 4.711, 4.711, 4.713 Å; angles 90.00, 90.00, 90.00 degrees
Space group P4/mmm (No. 123)
Asymmetric unit:
Na 0.000 0.000 0.000 (multiplicity 1)
Li 0.500 0.500 0.000 (multiplicity 1)
Pb 0.000 0.500 0.500 (multiplicity 2)

Values from the calculation:
- DFT formation energy (eV per atom) = -0.16

=====

V (computed, Å³/cell): 102, 145, 445, 167, 279, 66, 1378, 301, 325, 142, 69, 233, 547, 77, 224, 285, 566, 380, 287, 105
Total energy (computed, eV per atom): -4.45, -2.89, -6.60, -3.43, -4.60, -9.31, -4.37, -4.00, -6.05, -1.85, -9.48, -3.23, -2.88, -10.57, -6.65, -2.39, -7.62, -4.67, -2.63, -2.82